Entry 1:
3
Lattice="0.000 2.848 2.848 2.848 0.000 2.848 2.848 2.848 0.000" Properties=species:S:1:pos:R:3 comment="SiMoIr PBEsol optimized geometry" spacegroup="F-43m, No. 216" total_energy_ev_per_cell=-27.35 polymorph_energy_kj_per_mol_atoms=43.6 e_form_raw_ev_per_fu=0.0 dos_ef_per_ev_cell=4.7 pbc="T T T"
Si 0.000 0.000 0.000
Mo 1.424 1.424 1.424
Ir 4.272 4.272 4.272

***

Entry 2:
4
Lattice="-1.441 2.712 4.394 1.441 -2.712 4.394 1.441 2.712 -4.394" Properties=species:S:1:pos:R:3 comment="Be2InCl PBEsol optimized geometry" spacegroup="Imm2, No. 44" total_energy_ev_per_cell=-11.79 polymorph_energy_kj_per_mol_atoms=0.0 e_form_raw_ev_per_fu=1.2 dos_ef_per_ev_cell=1.2 pbc="T T T"
Be 0.000 0.000 0.000
Be 0.000 2.712 2.635
In 1.441 0.000 2.508
Cl 0.000 0.000 5.514

***

Entry 3:
5
Lattice="5.974 0.000 0.000 0.000 5.974 0.000 0.000 0.000 2.729" Properties=species:S:1:pos:R:3 comment="YTe2CN PBEsol optimized geometry" spacegroup="P4/mmm, No. 123" total_energy_ev_per_cell=-29.15 e_form_raw_ev_per_fu=2.9 dos_ef_per_ev_cell=2.1 pbc="T T T"
Y 0.000 0.000 0.000
Te 0.000 2.987 1.364
Te 2.987 0.000 1.364
C 2.987 2.987 1.364
N 2.987 2.987 0.000

***

Entry 4:
4
Lattice="2.822 0.000 0.000 0.000 3.665 0.000 -0.302 0.000 5.828" Properties=species:S:1:pos:R:3 comment="AlCu2Se PBEsol optimized geometry" spacegroup="P2/m, No. 10" total_energy_ev_per_cell=-16.61 e_form_raw_ev_per_fu=0.0 dos_ef_per_ev_cell=1.4 pbc="T T T"
Al 0.000 0.000 0.000
Cu 1.160 1.832 4.637
Cu 1.359 1.832 1.192
Se 1.260 0.000 2.914

***

Entry 5:
4
Lattice="0.000 3.162 3.162 3.162 0.000 3.162 3.162 3.162 0.000" Properties=species:S:1:pos:R:3 comment="GaSbIr2 PBEsol optimized geometry" spacegroup="Fm-3m, No. 225" total_energy_ev_per_cell=-27.32 e_form_raw_ev_per_fu=0.2 dos_ef_per_ev_cell=5.5 pbc="T T T"
Ga 0.000 0.000 0.000
Sb 3.162 3.162 3.162
Ir 1.581 1.581 1.581
Ir 4.744 4.744 4.744

***

Entry 6:
18
Lattice="7.752 0.000 0.000 -3.876 6.714 0.000 0.000 0.000 5.432" Properties=species:S:1:pos:R:3 comment="Li5Ag4 PBEsol optimized geometry" delta_e_f_mev_per_atom=-128.6 spacegroup="P6_3/mcm, No. 193" total_energy_ev_per_cell=-48.47 dos_ef_per_ev_cell=4.8 pbc="T T T"
Li -1.202 2.082 1.358
Li -2.674 4.632 4.074
Li 2.404 0.000 1.358
Li 1.202 2.082 4.074
Li 0.000 4.476 0.000
Li 0.000 4.476 2.716
Li 3.876 2.238 0.000
Li 3.876 2.238 2.716
Li 5.348 0.000 4.074
Li 2.674 4.632 1.358
Ag 0.000 0.000 0.000
Ag 0.000 0.000 2.716
Ag -1.370 2.374 4.074
Ag -2.506 4.340 1.358
Ag 2.741 0.000 4.074
Ag 1.370 2.374 1.358
Ag 5.011 0.000 1.358
Ag 2.506 4.340 4.074

***

Entry 7:
4
Lattice="3.176 0.000 0.000 0.000 3.176 0.000 0.000 0.000 6.383" Properties=species:S:1:pos:R:3 comment="Ta2OsW PBEsol optimized geometry" delta_e_f_mev_per_atom=-262.2 spacegroup="P4/mmm, No. 123" total_energy_ev_per_cell=-52.17 polymorph_energy_kj_per_mol_atoms=2.7 dos_ef_per_ev_cell=1.8 pbc="T T T"
Ta 0.000 0.000 1.584
Ta 0.000 0.000 4.799
Os 1.588 1.588 3.191
W 1.588 1.588 0.000

***

Entry 8:
4
Lattice="3.389 -1.950 0.000 3.389 1.950 0.000 -2.104 0.000 9.657" Properties=species:S:1:pos:R:3 comment="K2CrFe PBEsol optimized geometry" delta_e_f_mev_per_atom=947.6 spacegroup="Cm, No. 8" total_energy_ev_per_cell=-17.68 polymorph_energy_kj_per_mol_atoms=6.2 dos_ef_per_ev_cell=5.6 pbc="T T T"
K 0.000 0.000 0.000
K -0.004 0.000 5.354
Cr 4.516 0.000 2.675
Fe 2.258 0.000 2.678